Pr5Dy2ErTm, optimized geometry, DFT PBE; magnetization = 0.00 μB per cell; ΔH_f (0 K) = 0.138 eV per atom
1.0
5.645 0.000 0.000
-2.822 10.311 0.000
0.000 0.000 10.720
Pr Tm Dy Er
10 2 4 2
direct
0.380 0.760 0.019 Pr
0.620 0.240 0.519 Pr
0.486 0.973 0.746 Pr
0.704 0.408 0.208 Pr
0.722 0.443 0.815 Pr
0.278 0.557 0.315 Pr
0.296 0.592 0.708 Pr
0.015 0.029 0.014 Pr
0.514 0.027 0.246 Pr
0.985 0.971 0.514 Pr
0.198 0.396 0.011 Tm
0.802 0.604 0.511 Tm
0.114 0.227 0.303 Dy
0.886 0.773 0.803 Dy
0.886 0.773 0.240 Dy
0.114 0.227 0.740 Dy
0.595 0.190 0.969 Er
0.405 0.810 0.469 Er

Pu4SbTe2Se, optimized geometry, DFT PBE; formation energy without anion corrections = -1034.1 meV per atom; magnetization = 0.14 μB per cell
1.0
-0.799 2.969 -3.091
1.666 -5.122 -5.352
-6.258 -3.754 -1.989
Pu Te Sb Se
4 2 1 1
direct
0.000 0.258 0.255 Pu
0.000 0.742 0.745 Pu
0.500 0.734 0.263 Pu
0.500 0.266 0.737 Pu
0.000 0.000 0.000 Te
0.500 0.000 0.500 Te
0.500 0.500 0.000 Sb
0.000 0.500 0.500 Se

Sc2Al2Co5Ge, optimized geometry, DFT PBE; magnetization = 0.00 μB per cell; ΔH_f (0 K) = -0.315 eV per atom
1.0
3.177 0.000 0.000
0.000 9.281 0.000
0.000 0.000 9.281
Sc Al Ge Co
4 4 2 10
direct
0.000 0.172 0.328 Sc
0.000 0.828 0.672 Sc
0.000 0.328 0.828 Sc
0.000 0.672 0.172 Sc
0.000 0.126 0.626 Al
0.000 0.874 0.374 Al
0.000 0.626 0.874 Al
0.000 0.374 0.126 Al
0.000 0.000 0.000 Ge
0.000 0.500 0.500 Ge
0.500 0.063 0.803 Co
0.500 0.197 0.063 Co
0.500 0.563 0.697 Co
0.500 0.697 0.437 Co
0.500 0.303 0.563 Co
0.500 0.437 0.303 Co
0.500 0.803 0.937 Co
0.500 0.000 0.500 Co
0.500 0.937 0.197 Co
0.500 0.500 0.000 Co

Pu4US10, optimized geometry, DFT PBE; formation energy without anion corrections = -1450.4 meV per atom; magnetization = 18.00 μB per cell
1.0
5.863 0.000 2.647
2.931 7.188 1.324
-0.027 0.000 7.875
Pu S U
4 10 1
direct
0.199 0.400 0.202 Pu
0.401 0.798 0.400 Pu
0.801 0.600 0.798 Pu
0.599 0.202 0.600 Pu
0.950 0.904 0.704 S
0.558 0.096 0.296 S
0.854 0.704 0.096 S
0.750 0.500 0.500 S
0.654 0.296 0.904 S
0.146 0.296 0.904 S
0.346 0.704 0.096 S
0.442 0.904 0.704 S
0.250 0.500 0.500 S
0.050 0.096 0.296 S
0.000 0.000 0.000 U

Number 1: E -4.544 eV per atom. Number 2: E -9.936 eV per atom. Number 3: E -6.345 eV per atom. Number 4: E -8.776 eV per atom.